LiAsOs2 PBE optimized geometry; SG = No. 99; raw total energy = -7.10 eV/atom; total moment = 0.000 μB/atom
1.0
2.837 0.000 0.000
0.000 2.837 0.000
0.000 0.000 7.773
As Li Os
1 1 2
direct
0.000 0.000 0.469
0.500 0.500 0.768
0.000 0.000 0.023
0.500 0.500 0.240


NaBe3Cd PBE optimized geometry; ΔE to the lowest computed polymorph = 0.00 eV per formula unit; SG = No. 221; raw total energy = -1.79 eV/atom; total moment = 0.000 μB/atom
1.0
4.538 0.000 0.000
0.000 4.538 0.000
0.000 0.000 4.538
Na Be Cd
1 3 1
direct
0.500 0.500 0.500
0.000 0.500 0.000
0.000 0.000 0.500
0.500 0.000 0.000
0.000 0.000 0.000